DFT (GGA-PBE) results for a relaxed CaGa4IrPt2 crystal.

- energy (Ha/atom) = -0.182
- total moment (μB/f.u.) = 0.00

Structure (POSCAR):
```
CaGa4IrPt2
1.0
4.2760 0.0000 0.0000
2.1380 3.7031 0.0000
2.1380 1.2344 9.0334
Ga Pt Ca Ir
4 2 1 1
Cartesian
4.2760 2.4687 1.8134 Ga
6.4139 3.7031 3.6082 Ga
4.2760 2.4687 7.2200 Ga
2.1380 1.2344 5.4252 Ga
2.1380 1.2344 2.6301 Pt
6.4139 3.7031 6.4033 Pt
0.0000 0.0000 0.0000 Ca
4.2760 2.4687 4.5167 Ir
```


DFT (GGA-PBE) results for a relaxed LiLa2Ni16 crystal.

- energy (Ha/atom) = -0.208
- total moment (μB/f.u.) = 6.18

Structure (POSCAR):
```
LiLa2Ni16
1.0
6.2933 0.0064 0.7166
0.6404 6.2606 0.7166
0.0071 0.0064 6.3339
Ni La Li
16 2 1
Cartesian
4.5604 4.1220 1.9121 Ni
3.1166 0.0169 0.3701 Ni
0.0187 0.0169 3.1384 Ni
1.3891 4.1220 4.7459 Ni
4.6537 1.8340 7.0491 Ni
6.4833 1.8340 5.4142 Ni
2.3780 2.1493 5.8631 Ni
4.2409 0.9668 4.7459 Ni
0.6641 0.6003 0.7432 Ni
2.2935 4.4453 7.0491 Ni
6.7478 4.4453 3.0687 Ni
2.4778 6.2656 5.4142 Ni
2.6985 5.3150 3.0198 Ni
0.3308 3.0990 0.3701 Ni
5.5598 2.1493 3.0198 Ni
5.1025 6.2656 3.0687 Ni
2.3632 2.1360 2.6446 La
4.5657 4.1268 5.1094 La
6.2921 5.6871 7.0413 Li
```


DFT (GGA-PBE) results for a relaxed SiPdI2 crystal.

- formation energy without anion corrections (kcal/mol of atoms) = 8.41
- ΔE to the lowest computed polymorph (meV per atom) = 0
- total moment (μB/f.u.) = 0.00

Structure (POSCAR):
```
SiPdI2
1.0
6.7096 0.0000 0.0000
0.0000 6.7096 0.0000
3.3548 3.3548 6.0507
Pd Si I
2 2 4
Cartesian
6.7096 3.3548 3.0253 Pd
0.0000 0.0000 0.0000 Pd
3.3548 6.7096 3.0253 Si
3.3548 3.3548 0.0000 Si
8.3870 8.5419 4.5380 I
5.1870 1.6774 1.5127 I
1.5226 5.0322 1.5127 I
5.0322 4.8774 4.5380 I
```